Material: K2FeAgO4
Method: DFT, GGA+U
State: optimized geometry

Summary:
VASP energy = -4.813 eV/atom

The structure in CIF format:
```
data_K2FeAgO4
_chemical_formula_sum 'K4 Fe2 Ag2 O8'
_symmetry_space_group_name_H-M 'I -4'
_symmetry_Int_Tables_number 82
_cell_length_a 6.194
_cell_length_b 6.194
_cell_length_c 6.833
_cell_angle_alpha 90.00
_cell_angle_beta 90.00
_cell_angle_gamma 90.00
loop_
_symmetry_equiv_pos_as_xyz
'x,y,z'
'y,-x,-z'
'-x,-y,z'
'-y,x,-z'
'x+1/2,y+1/2,z+1/2'
'y+1/2,-x+1/2,-z+1/2'
'-x+1/2,-y+1/2,z+1/2'
'-y+1/2,x+1/2,-z+1/2'
loop_
_atom_site_label
_atom_site_fract_x
_atom_site_fract_y
_atom_site_fract_z
K1 0.000 0.000 0.000
K2 0.000 0.500 0.250
Fe1 0.000 0.000 0.500
Ag1 0.000 0.500 0.750
O1 0.136 0.207 0.664
```